[1]
{
  "formula": "SrP2Pt",
  "functional": "PBE",
  "state": "relaxed",
  "delta_e_f_ev_per_atom": -0.246,
  "lattice_angstrom": [[-2.496, -2.194, -1.331], [1.140, -2.612, 2.168], [-4.017, 1.900, 4.401]],
  "species": ["P", "Sr", "Pt", "P"],
  "fractional_positions": [[0.000, 0.000, 0.082], [0.500, 0.500, 0.750], [0.500, 0.500, 0.250], [0.000, 0.000, 0.418]]
}

***

[2]
{
  "formula": "SrP2Pt",
  "functional": "PBE",
  "state": "relaxed",
  "delta_e_f_ev_per_atom": -0.047,
  "lattice_angstrom": [[-2.367, 0.311, -4.140], [0.145, -4.757, -0.442], [-2.909, -0.241, 1.646]],
  "species": ["P", "Sr", "Pt", "P"],
  "fractional_positions": [[0.000, 0.000, 0.000], [0.000, 0.500, 0.500], [0.500, 0.000, 0.500], [0.500, 0.500, 0.000]]
}

***

[3]
{
  "formula": "SrPPt2",
  "functional": "PBE",
  "state": "relaxed",
  "delta_e_f_ev_per_atom": -0.649,
  "lattice_angstrom": [[5.628, -2.123, 0.006], [5.628, 2.123, 0.006], [4.823, 0.000, 3.594]],
  "species": ["Pt", "P", "Pt", "Sr"],
  "fractional_positions": [[0.972, 0.972, 0.972], [0.316, 0.316, 0.316], [0.706, 0.706, 0.706], [0.506, 0.506, 0.506]]
}

***

[4]
{
  "formula": "SrP2Pt",
  "functional": "PBE",
  "state": "relaxed",
  "delta_e_f_ev_per_atom": -0.065,
  "lattice_angstrom": [[2.949, -3.139, 2.034], [1.840, 0.901, 4.299], [-1.438, -2.515, 3.781]],
  "species": ["Pt", "P", "P", "Sr"],
  "fractional_positions": [[0.500, 0.500, 0.500], [0.750, 0.750, 0.750], [0.250, 0.250, 0.250], [0.000, 0.000, 0.000]]
}

***

[5]
{
  "formula": "SrPPt2",
  "functional": "PBE",
  "state": "relaxed",
  "delta_e_f_ev_per_atom": -0.847,
  "lattice_angstrom": [[-4.459, -2.248, 1.406], [2.353, -2.088, 4.124], [-2.849, 3.984, 6.905]],
  "species": ["P", "Pt", "Sr", "Pt", "Sr", "P", "Pt", "Pt"],
  "fractional_positions": [[0.250, 0.750, 0.500], [0.875, 0.650, 0.750], [0.750, 0.250, 0.500], [0.350, 0.625, 0.250], [0.000, 0.000, 0.000], [0.500, 0.500, 0.000], [0.400, 0.125, 0.250], [0.375, 0.600, 0.750]]
}

***

[6]
{
  "formula": "SrPPt2",
  "functional": "PBE",
  "state": "relaxed",
  "delta_e_f_ev_per_atom": -0.675,
  "lattice_angstrom": [[5.610, -2.119, 0.029], [5.610, 2.119, 0.029], [4.791, 0.000, 3.607]],
  "species": ["Sr", "Pt", "P", "Pt"],
  "fractional_positions": [[0.000, 0.000, 0.000], [0.798, 0.798, 0.798], [0.500, 0.500, 0.500], [0.202, 0.202, 0.202]]
}

***

[7]
{
  "formula": "SrPPt",
  "functional": "PBE",
  "state": "relaxed",
  "delta_e_f_ev_per_atom": -1.108,
  "lattice_angstrom": [[4.538, 0.000, 0.000], [0.000, 4.127, 0.000], [0.000, -2.064, 3.574]],
  "species": ["P", "Sr", "Pt"],
  "fractional_positions": [[0.500, 0.333, 0.667], [0.000, 0.000, 0.000], [0.500, 0.667, 0.333]]
}

***

[8]
{
  "formula": "SrPPt2",
  "functional": "PBE",
  "state": "relaxed",
  "delta_e_f_ev_per_atom": -0.114,
  "lattice_angstrom": [[5.087, 2.922, 0.002], [-5.087, 2.922, 0.002], [0.000, 1.469, 2.527]],
  "species": ["Sr", "P", "Pt", "Pt"],
  "fractional_positions": [[0.500, 0.500, 0.500], [0.000, 0.000, 0.500], [0.000, 0.500, 0.000], [0.500, 0.000, 0.000]]
}

***

[9]
{
  "formula": "SrTbP2Pt4",
  "functional": "PBE",
  "state": "relaxed",
  "delta_e_f_ev_per_atom": -0.880,
  "lattice_angstrom": [[4.087, 0.000, 0.000], [0.000, 4.087, 0.000], [0.000, 0.000, 9.945]],
  "species": ["Pt", "Sr", "Tb", "Pt", "P", "P", "Pt", "Pt"],
  "fractional_positions": [[0.500, 0.000, 0.785], [0.000, 0.000, 0.500], [0.000, 0.000, 0.000], [0.000, 0.500, 0.215], [0.500, 0.500, 0.666], [0.500, 0.500, 0.334], [0.000, 0.500, 0.785], [0.500, 0.000, 0.215]]
}

***

[10]
{
  "formula": "Sr2TbP3Pt12",
  "functional": "PBE",
  "state": "relaxed",
  "delta_e_f_ev_per_atom": -0.403,
  "lattice_angstrom": [[7.785, -0.319, -0.226], [3.568, 6.927, -0.226], [3.568, 2.077, 6.612]],
  "species": ["Pt", "P", "Sr", "Pt", "Pt", "Pt", "Sr", "Pt", "Tb", "Pt", "P", "P", "Pt", "Pt", "Pt", "Pt", "Pt", "Pt"],
  "fractional_positions": [[0.334, 0.334, 0.903], [0.500, 0.000, 0.000], [0.401, 0.401, 0.401], [0.604, 0.135, 0.135], [0.666, 0.097, 0.666], [0.097, 0.666, 0.666], [0.599, 0.599, 0.599], [0.135, 0.135, 0.604], [0.000, 0.000, 0.000], [0.396, 0.865, 0.865], [0.000, 0.500, 0.000], [0.000, 0.000, 0.500], [0.865, 0.865, 0.396], [0.666, 0.666, 0.097], [0.865, 0.396, 0.865], [0.334, 0.903, 0.334], [0.135, 0.604, 0.135], [0.903, 0.334, 0.334]]
}

***

[11]
{
  "formula": "SrTcP2Pt",
  "functional": "PBE",
  "state": "relaxed",
  "delta_e_f_ev_per_atom": -0.842,
  "lattice_angstrom": [[-3.994, 0.501, -0.365], [-0.592, -3.790, 1.275], [2.022, 3.574, 5.152]],
  "species": ["Pt", "Sr", "P", "Tc", "P"],
  "fractional_positions": [[0.250, 0.750, 0.500], [0.000, 0.000, 0.000], [0.358, 0.358, 0.715], [0.750, 0.250, 0.500], [0.642, 0.642, 0.285]]
}

***

[12]
{
  "formula": "Sr2TePPt",
  "functional": "PBE",
  "state": "relaxed",
  "e_form_raw_ev_per_atom": -0.251,
  "lattice_angstrom": [[5.770, 0.000, 0.000], [0.000, 4.963, 0.000], [0.000, 0.000, 5.770]],
  "species": ["Sr", "Te", "Pt", "P", "Sr"],
  "fractional_positions": [[0.500, 0.000, 0.000], [0.000, 0.500, 0.000], [0.500, 0.500, 0.500], [0.000, 0.000, 0.000], [0.000, 0.000, 0.500]]
}